This record from the Alexandria database describes a geometry-optimized Sm6Ga2GeSe3 structure. The functional is PBE-GGA.

Cell lengths 9.8980, 9.8980, 8.4319 Å; angles 112.77, 112.77, 24.53 degrees
Fractional positions:
Sm (0.0077, 0.0077, 0.2479)
Sm (0.3351, 0.3351, 0.8594)
Sm (0.3416, 0.3416, 0.3514)
Sm (0.6584, 0.6584, 0.6486)
Sm (0.6649, 0.6649, 0.1406)
Sm (0.9923, 0.9923, 0.7521)
Ga (0.2007, 0.2007, 0.4354)
Ga (0.7993, 0.7993, 0.5646)
Ge (0.5000, 0.5000, 0.0000)
Se (0.1636, 0.1636, 0.8909)
Se (0.5000, 0.5000, 0.5000)
Se (0.8364, 0.8364, 0.1091)

Values from the calculation:
SG = C2/m, No. 12
Formation energy from raw total energies = -122.8 kJ/mol of atoms